Below is a relaxed Li2Y2Ni crystal, with properties calculated at the GGA-PBE level.

- ΔH_f (0 K) (kJ/mol of atoms) = 16
- total moment (μB per atom) = 0.000
- total energy (eV/atom) = -4.34
- D(E_F) (states/eV/cell) = 13.95
- symmetry = P4/mbm, No. 127
- mass density (Mg/m³) = 4.0

POSCAR file:
```
Li2Y2Ni
1.0
6.627 0.000 0.000
0.000 6.627 0.000
0.000 0.000 4.731
Li Y Ni
4 4 2
Direct
0.366 0.866 0.000
0.134 0.366 0.000
0.866 0.634 0.000
0.634 0.134 0.000
0.313 0.187 0.500
0.687 0.813 0.500
0.813 0.313 0.500
0.187 0.687 0.500
0.500 0.500 0.000
0.000 0.000 0.000
```